Crystalline Nd2Y2CI4Br at its relaxed geometry. Source: OQMD, functional PBE-GGA.

offset from the most stable computed form: 0 meV/atom
crystal system: monoclinic

Lattice parameters (Å, degrees): 19.459 4.008 8.508 90.00 102.11 90.00
Space group C2/m (No. 12)
Symmetry-distinct sites (fractional):
Nd: 0.001 0.000 0.295 (multiplicity 4)
Y: 0.127 0.500 0.563 (multiplicity 4)
C: 0.000 0.500 0.500 (multiplicity 2)
I: 0.166 0.000 0.840 (multiplicity 4)
I: 0.170 0.000 0.325 (multiplicity 4)
Br: 0.000 0.500 0.000 (multiplicity 2)

Crystalline NdZn at its relaxed geometry. Source: OQMD, functional PBE-GGA.

formation energy: -0.196 eV/atom
crystal system: monoclinic

Lattice parameters (Å, degrees): 7.120 5.196 8.160 90.00 98.14 90.00
Space group P2_1/m (No. 11)
Symmetry-distinct sites (fractional):
Nd: 0.179 0.250 0.007 (multiplicity 2)
Nd: 0.217 0.250 0.580 (multiplicity 2)
Nd: 0.271 0.750 0.314 (multiplicity 2)
Zn: 0.086 0.750 0.730 (multiplicity 2)
Zn: 0.392 0.750 0.962 (multiplicity 2)
Zn: 0.479 0.750 0.670 (multiplicity 2)

Crystalline TeMo2 at its relaxed geometry. Source: OQMD, functional PBE-GGA.

offset from the most stable computed form: 1943 meV/atom
crystal system: cubic

Lattice parameters (Å, degrees): 12.847 12.847 12.847 90.00 90.00 90.00
Space group Fd-3m (No. 227, origin choice 2)
Symmetry-distinct sites (fractional):
Te: 0.125 0.125 0.125 (multiplicity 8)
Mo: 0.000 0.000 0.000 (multiplicity 16)

Crystalline DyCdPO at its relaxed geometry. Source: OQMD, functional PBE-GGA.

final energy: -5.45 eV per atom
crystal system: orthorhombic

Lattice parameters (Å, degrees): 4.321 6.606 5.826 90.00 90.00 90.00
Space group Pmc2_1 (No. 26)
Symmetry-distinct sites (fractional):
Dy: 0.000 0.215 0.000 (multiplicity 2)
Cd: 0.500 0.361 0.578 (multiplicity 2)
P: 0.000 0.202 0.490 (multiplicity 2)
O: 0.500 0.304 0.988 (multiplicity 2)